(1)
First-principles (GGA-PBE) data for an optimized crystal structure of CsRbAu, as listed in Alexandria.

abc: 4.405 4.405 17.225
angles: 90.00 90.00 90.00
Space group I4mm (No. 107)
Symmetry-distinct sites (fractional):
Cs  0.000  0.000  0.000
Rb  0.000  0.000  0.234
Au  0.000  0.000  0.620

formation energy from the elements = -206 meV/atom

---

(2)
First-principles (GGA-PBE) data for an optimized crystal structure of Cs4Rb2Au, as listed in Alexandria.

abc: 7.203 7.203 24.718
angles: 90.00 90.00 90.00
Space group I4/mmm (No. 139)
Symmetry-distinct sites (fractional):
Cs  0.000  0.000  0.148
Cs  0.000  0.500  0.000
Rb  0.000  0.000  0.341
Au  0.000  0.000  0.000

formation energy from the elements = -72 meV/atom

---

(3)
First-principles (GGA-PBE) data for an optimized crystal structure of Cs2RbAu, as listed in Alexandria.

abc: 5.149 16.734 11.724
angles: 90.00 90.00 90.00
Space group Cmcm (No. 63)
Symmetry-distinct sites (fractional):
Cs  0.000  0.152  0.069
Rb  0.000  0.415  0.250
Au  0.000  0.238  0.750

formation energy from the elements = -167 meV/atom

---

(4)
First-principles (GGA-PBE) data for an optimized crystal structure of Cs4Rb16Au3, as listed in Alexandria.

abc: 9.409 9.409 19.778
angles: 90.00 90.00 90.00
Space group P4/mmm (No. 123)
Symmetry-distinct sites (fractional):
Cs  0.000  0.500  0.201
Rb  0.000  0.000  0.179
Rb  0.248  0.248  0.399
Rb  0.256  0.256  0.000
Rb  0.500  0.500  0.202
Au  0.000  0.000  0.000
Au  0.000  0.500  0.500

formation energy from the elements = -47 meV/atom

---

(5)
First-principles (GGA-PBE) data for an optimized crystal structure of CsRb2Au2, as listed in Alexandria.

abc: 5.501 5.501 14.729
angles: 90.00 90.00 90.00
Space group I4/mmm (No. 139)
Symmetry-distinct sites (fractional):
Cs  0.000  0.000  0.000
Rb  0.000  0.500  0.250
Au  0.000  0.000  0.404

formation energy from the elements = -213 meV/atom

---

(6)
First-principles (GGA-PBE) data for an optimized crystal structure of Cs7Rb12Au, as listed in Alexandria.

abc: 27.0452 27.0452 8.8623
angles: 90.00 90.00 120.00
Space group R-3m (No. 166, hexagonal axes)
Symmetry-distinct sites (fractional):
Cs  0.0000  0.0000  0.0000
Cs  0.0739  0.1478  0.3306
Rb  0.0000  0.4089  0.0000
Rb  0.0940  0.5470  0.5101
Au  0.0000  0.0000  0.5000

formation energy from the elements = 14 meV/atom

---

(7)
First-principles (GGA-PBE) data for an optimized crystal structure of Cs2RbAu, as listed in Alexandria.

abc: 9.002 5.221 12.504
angles: 90.00 90.23 90.00
Space group P2_1 (No. 4)
Symmetry-distinct sites (fractional):
Cs  0.084  0.000  0.160
Cs  0.415  0.000  0.840
Rb  0.250  0.498  0.500
Au  0.249  0.500  0.001

formation energy from the elements = -176 meV/atom

---

(8)
First-principles (GGA-PBE) data for an optimized crystal structure of CsRb2Au2, as listed in Alexandria.

abc: 13.305 5.121 6.976
angles: 90.00 100.58 90.00
Space group C2/m (No. 12)
Symmetry-distinct sites (fractional):
Cs  0.000  0.000  0.000
Rb  0.159  0.500  0.602
Au  0.228  0.500  0.102

formation energy from the elements = -211 meV/atom

---

(9)
First-principles (GGA-PBE) data for an optimized crystal structure of Cs5Rb2Au4, as listed in Alexandria.

abc: 27.053 5.147 9.195
angles: 90.00 108.33 90.00
Space group C2/m (No. 12)
Symmetry-distinct sites (fractional):
Cs  0.000  0.000  0.000
Cs  0.171  0.500  0.415
Cs  0.177  0.500  0.943
Rb  0.071  0.000  0.594
Au  0.010  0.500  0.343
Au  0.209  0.000  0.708

formation energy from the elements = -210 meV/atom

---

(10)
First-principles (GGA-PBE) data for an optimized crystal structure of Cs8RbAu3, as listed in Alexandria.

abc: 10.5699 10.5699 31.0807
angles: 90.00 90.00 120.00
Space group R-3m (No. 166, hexagonal axes)
Symmetry-distinct sites (fractional):
Cs  0.0000  0.0000  0.2333
Cs  0.0069  0.5035  0.2293
Rb  0.0000  0.0000  0.0000
Au  0.0000  0.5000  0.5000

formation energy from the elements = -131 meV/atom

---

(11)
First-principles (GGA-PBE) data for an optimized crystal structure of Cs3Rb4Au4, as listed in Alexandria.

abc: 4.812 10.724 20.431
angles: 90.00 90.00 90.00
Space group Immm (No. 71)
Symmetry-distinct sites (fractional):
Cs  0.000  0.000  0.000
Cs  0.000  0.500  0.097
Rb  0.000  0.311  0.329
Au  0.000  0.000  0.258
Au  0.000  0.221  0.500

formation energy from the elements = -210 meV/atom

---

(12)
First-principles (GGA-PBE) data for an optimized crystal structure of CsRb9Au2, as listed in Alexandria.

abc: 13.1847 13.1847 5.5895
angles: 90.00 90.00 120.00
Space group P6/mmm (No. 191)
Symmetry-distinct sites (fractional):
Cs  0.0000  0.0000  0.0000
Rb  0.0000  0.5000  0.0000
Rb  0.2190  0.4380  0.5000
Au  0.3333  0.6667  0.0000

formation energy from the elements = -80 meV/atom

---

- Among the records above, which one has the highest formation energy from the elements?
  Cs7Rb12Au